No. 1
The following is a PBE calculation of LiSmScCd after structural relaxation, from the Alexandria database.

```
data_LiSmScCd
_chemical_formula_sum 'Li4 Sm4 Sc4 Cd4'
_symmetry_space_group_name_H-M 'F -4 3 m'
_symmetry_Int_Tables_number 216
_symmetry_space_group_name_Hall 'F -4 2 3'
_cell_length_a 7.313
_cell_length_b 7.313
_cell_length_c 7.313
_cell_angle_alpha 90.00
_cell_angle_beta 90.00
_cell_angle_gamma 90.00
loop_
_atom_site_label
_atom_site_type_symbol
_atom_site_fract_x
_atom_site_fract_y
_atom_site_fract_z
Li1 Li 0.000 0.000 0.000
Sm1 Sm 0.250 0.250 0.750
Sc1 Sc 0.250 0.250 0.250
Cd1 Cd 0.000 0.000 0.500
```



No. 2
The following is a PBE calculation of SrLiScCd after structural relaxation, from the Alexandria database.

```
data_SrLiScCd
_chemical_formula_sum 'Sr4 Li4 Sc4 Cd4'
_symmetry_space_group_name_H-M 'F -4 3 m'
_symmetry_Int_Tables_number 216
_symmetry_space_group_name_Hall 'F -4 2 3'
_cell_length_a 7.594
_cell_length_b 7.594
_cell_length_c 7.594
_cell_angle_alpha 90.00
_cell_angle_beta 90.00
_cell_angle_gamma 90.00
loop_
_atom_site_label
_atom_site_type_symbol
_atom_site_fract_x
_atom_site_fract_y
_atom_site_fract_z
Sr1 Sr 0.000 0.000 0.000
Li1 Li 0.250 0.250 0.250
Sc1 Sc 0.000 0.000 0.500
Cd1 Cd 0.250 0.250 0.750
```



No. 3
The following is a PBE calculation of Li2Tb2ScCd5 after structural relaxation, from the Alexandria database.

```
data_Li2Tb2ScCd5
_chemical_formula_sum 'Li4 Tb4 Sc2 Cd10'
_symmetry_space_group_name_H-M 'P 4/m b m'
_symmetry_Int_Tables_number 127
_symmetry_space_group_name_Hall '-P 4 2ab'
_cell_length_a 10.552
_cell_length_b 10.552
_cell_length_c 3.946
_cell_angle_alpha 90.00
_cell_angle_beta 90.00
_cell_angle_gamma 90.00
loop_
_atom_site_label
_atom_site_type_symbol
_atom_site_fract_x
_atom_site_fract_y
_atom_site_fract_z
Li1 Li 0.117 0.383 0.000
Tb1 Tb 0.180 0.680 0.000
Sc1 Sc 0.000 0.000 0.000
Cd1 Cd 0.000 0.500 0.500
Cd2 Cd 0.059 0.208 0.500
```



No. 4
The following is a PBE calculation of LiThScCd after structural relaxation, from the Alexandria database.

```
data_LiThScCd
_chemical_formula_sum 'Li4 Th4 Sc4 Cd4'
_symmetry_space_group_name_H-M 'F -4 3 m'
_symmetry_Int_Tables_number 216
_symmetry_space_group_name_Hall 'F -4 2 3'
_cell_length_a 7.345
_cell_length_b 7.345
_cell_length_c 7.345
_cell_angle_alpha 90.00
_cell_angle_beta 90.00
_cell_angle_gamma 90.00
loop_
_atom_site_label
_atom_site_type_symbol
_atom_site_fract_x
_atom_site_fract_y
_atom_site_fract_z
Li1 Li 0.000 0.000 0.000
Th1 Th 0.250 0.250 0.750
Sc1 Sc 0.250 0.250 0.250
Cd1 Cd 0.000 0.000 0.500
```



No. 5
The following is a PBE calculation of LiTmSc2Cd4 after structural relaxation, from the Alexandria database.

```
data_LiTmSc2Cd4
_chemical_formula_sum 'Li3 Tm3 Sc6 Cd12'
_symmetry_space_group_name_H-M 'R -3 m'
_symmetry_Int_Tables_number 166
_symmetry_space_group_name_Hall '-R 3 2"'
_cell_length_a 5.0071
_cell_length_b 5.0071
_cell_length_c 24.6844
_cell_angle_alpha 90.00
_cell_angle_beta 90.00
_cell_angle_gamma 120.00
loop_
_atom_site_label
_atom_site_type_symbol
_atom_site_fract_x
_atom_site_fract_y
_atom_site_fract_z
Li1 Li 0.0000 0.0000 0.0000
Tm1 Tm 0.0000 0.0000 0.5000
Sc1 Sc 0.0000 0.0000 0.2502
Cd1 Cd 0.0000 0.0000 0.1182
Cd2 Cd 0.0000 0.0000 0.3723
```



No. 6
The following is a PBE calculation of LiTmScCd after structural relaxation, from the Alexandria database.

```
data_LiTmScCd
_chemical_formula_sum 'Li4 Tm4 Sc4 Cd4'
_symmetry_space_group_name_H-M 'F -4 3 m'
_symmetry_Int_Tables_number 216
_symmetry_space_group_name_Hall 'F -4 2 3'
_cell_length_a 7.182
_cell_length_b 7.182
_cell_length_c 7.182
_cell_angle_alpha 90.00
_cell_angle_beta 90.00
_cell_angle_gamma 90.00
loop_
_atom_site_label
_atom_site_type_symbol
_atom_site_fract_x
_atom_site_fract_y
_atom_site_fract_z
Li1 Li 0.000 0.000 0.000
Tm1 Tm 0.250 0.250 0.250
Sc1 Sc 0.250 0.250 0.750
Cd1 Cd 0.000 0.000 0.500
```



No. 7
The following is a PBE calculation of LiZr2ScCd after structural relaxation, from the Alexandria database.

```
data_LiZr2ScCd
_chemical_formula_sum 'Li1 Zr2 Sc1 Cd1'
_symmetry_space_group_name_H-M 'P 4/m m m'
_symmetry_Int_Tables_number 123
_symmetry_space_group_name_Hall '-P 4 2'
_cell_length_a 4.785
_cell_length_b 4.785
_cell_length_c 4.809
_cell_angle_alpha 90.00
_cell_angle_beta 90.00
_cell_angle_gamma 90.00
loop_
_atom_site_label
_atom_site_type_symbol
_atom_site_fract_x
_atom_site_fract_y
_atom_site_fract_z
Li1 Li 0.000 0.000 0.000
Zr1 Zr 0.000 0.500 0.000
Sc1 Sc 0.000 0.000 0.500
Cd1 Cd 0.500 0.500 0.500
```

ΔE to the lowest computed polymorph, meV per atom: 0.0



No. 8
The following is a PBE calculation of LiZrScCd after structural relaxation, from the Alexandria database.

```
data_LiZrScCd
_chemical_formula_sum 'Li2 Zr2 Sc2 Cd2'
_symmetry_space_group_name_H-M 'I 4 m m'
_symmetry_Int_Tables_number 107
_symmetry_space_group_name_Hall 'I 4 -2'
_cell_length_a 3.130
_cell_length_b 3.130
_cell_length_c 18.620
_cell_angle_alpha 90.00
_cell_angle_beta 90.00
_cell_angle_gamma 90.00
loop_
_atom_site_label
_atom_site_type_symbol
_atom_site_fract_x
_atom_site_fract_y
_atom_site_fract_z
Li1 Li 0.000 0.000 0.000
Zr1 Zr 0.000 0.000 0.838
Sc1 Sc 0.000 0.000 0.223
Cd1 Cd 0.000 0.000 0.602
```

ΔE to the lowest computed polymorph, meV per atom: 0.0



Number 1: total DFT energy (no corrections) -56.94 eV for the cell shown, E_form -0.0887 eV per atom, magnetic moment 0.30 μB per formula unit. Number 2: total DFT energy (no corrections) -43.37 eV for the cell shown, E_form -0.0003 eV per atom, magnetic moment 0.00 μB per formula unit. Number 3: total DFT energy (no corrections) -53.26 eV for the cell shown, E_form -0.2635 eV per atom, magnetic moment 0.00 μB per formula unit. Number 4: total DFT energy (no corrections) -65.58 eV for the cell shown, E_form 0.0461 eV per atom, magnetic moment 0.01 μB per formula unit. Number 5: total DFT energy (no corrections) -74.30 eV for the cell shown, E_form -0.2573 eV per atom, magnetic moment 0.00 μB per formula unit. Number 6: total DFT energy (no corrections) -56.04 eV for the cell shown, E_form -0.0944 eV per atom, magnetic moment 0.00 μB per formula unit. Number 7: total DFT energy (no corrections) -23.39 eV for the cell shown, E_form 0.5734 eV per atom, magnetic moment 0.00 μB per formula unit. Number 8: total DFT energy (no corrections) -35.32 eV for the cell shown, E_form 0.0124 eV per atom, magnetic moment 0.00 μB per formula unit.